Record 1
Compound: AcThPb
Source: the Alexandria database
Functional: GGA-PBE
Structure: relaxed

Cell lengths 6.390, 6.390, 6.390 Å; angles 140.78, 140.78, 56.67 degrees
Sites, in units of the cell vectors:
Ac 0.000 0.000 0.000
Th 0.697 0.697 0.000
Pb 0.332 0.332 0.000

formation enthalpy at 0 K = -0.157 eV per atom
excess energy over the best structure of this formula in the dataset = 0.187 eV/atom
DOS(E_F) = 1.23 states/eV/atom

***

Record 2
Compound: Ac4ThPb5
Source: the Alexandria database
Functional: GGA-PBE
Structure: relaxed

Cell lengths 3.823, 3.823, 23.432 Å; angles 90.00, 90.00, 90.00 degrees
Sites, in units of the cell vectors:
Ac 0.000 0.000 0.101
Ac 0.000 0.000 0.305
Ac 0.000 0.000 0.695
Ac 0.000 0.000 0.899
Th 0.000 0.000 0.500
Pb 0.500 0.500 0.000
Pb 0.500 0.500 0.203
Pb 0.500 0.500 0.407
Pb 0.500 0.500 0.593
Pb 0.500 0.500 0.797

formation enthalpy at 0 K = -0.437 eV per atom
DOS(E_F) = 0.83 states/eV/atom

***

Record 3
Compound: AcTh2Pb2
Source: the Alexandria database
Functional: GGA-PBE
Structure: relaxed

Cell lengths 5.415, 5.415, 13.640 Å; angles 90.00, 90.00, 120.00 degrees
Sites, in units of the cell vectors:
Ac 0.333 0.667 0.250
Ac 0.667 0.333 0.750
Th 0.333 0.667 0.529
Th 0.333 0.667 0.971
Th 0.667 0.333 0.029
Th 0.667 0.333 0.471
Pb 0.000 0.000 0.122
Pb 0.000 0.000 0.378
Pb 0.000 0.000 0.622
Pb 0.000 0.000 0.878

formation enthalpy at 0 K = -0.067 eV per atom
DOS(E_F) = 1.28 states/eV/atom

***

Record 4
Compound: AcThPb2
Source: the Alexandria database
Functional: GGA-PBE
Structure: relaxed

Cell lengths 3.727, 3.727, 9.338 Å; angles 90.00, 90.00, 90.00 degrees
Sites, in units of the cell vectors:
Ac 0.000 0.000 0.000
Th 0.000 0.000 0.500
Pb 0.500 0.500 0.260
Pb 0.500 0.500 0.740

formation enthalpy at 0 K = -0.368 eV per atom
DOS(E_F) = 0.67 states/eV/atom